# 1
VASP calculation (meta-GGA SCAN) on LaInPt2 at its PBEsol-relaxed geometry.

Unit cell a=4.0309 b=4.3519 c=9.3429 alpha=90.00 beta=90.00 gamma=90.00
Space group Imm2 (No. 44)
One atom of each set of equivalent atoms:
La: 0.0000 0.0000 0.0000 x2
In: 0.0000 0.5000 0.2398 x2
Pt: 0.0000 0.0000 0.4979 x2
Pt: 0.0000 0.5000 0.7594 x2

## Properties
* E_tot: -54.95 eV/atom
* magnetic moment: 0.00 μB per atom
* DFT formation energy: -726 meV/atom

---

# 2
VASP calculation (meta-GGA SCAN) on La2InPt at its PBEsol-relaxed geometry.

Unit cell a=3.6350 b=3.6350 c=7.9646 alpha=90.00 beta=90.00 gamma=90.00
Space group P4/mmm (No. 123)
One atom of each set of equivalent atoms:
La: 0.0000 0.0000 0.2168 x2
In: 0.5000 0.5000 0.5000 x1
Pt: 0.5000 0.5000 0.0000 x1

## Properties
* E_tot: -48.41 eV/atom
* magnetic moment: 0.00 μB per atom
* DFT formation energy: -965 meV/atom

---

# 3
VASP calculation (meta-GGA SCAN) on LaIn2Pt at its PBEsol-relaxed geometry.

Unit cell a=5.8004 b=5.8888 c=11.8044 alpha=90.00 beta=90.00 gamma=90.00
Space group Fmmm (No. 69)
One atom of each set of equivalent atoms:
La: 0.0000 0.0000 0.0000 x4
In: 0.0000 0.2500 0.2500 x8
Pt: 0.0000 0.0000 0.5000 x4

## Properties
* E_tot: -45.54 eV/atom
* magnetic moment: 0.00 μB per atom
* DFT formation energy: -525 meV/atom

---

# 4
VASP calculation (meta-GGA SCAN) on La2InPt at its PBEsol-relaxed geometry.

Unit cell a=7.0506 b=4.0587 c=8.6767 alpha=90.00 beta=105.60 gamma=90.00
Space group C2/m (No. 12)
One atom of each set of equivalent atoms:
La: 0.2356 0.0000 0.2063 x4
In: 0.0000 0.0000 0.5000 x2
Pt: 0.0000 0.5000 0.0000 x2

## Properties
* E_tot: -48.34 eV/atom
* magnetic moment: 0.00 μB per atom
* DFT formation energy: -894 meV/atom

---

# 5
VASP calculation (meta-GGA SCAN) on LaInPt4 at its PBEsol-relaxed geometry.

Unit cell a=7.6269 b=7.6269 c=7.6269 alpha=90.00 beta=90.00 gamma=90.00
Space group F-43m (No. 216)
One atom of each set of equivalent atoms:
La: 0.0000 0.0000 0.0000 x4
In: 0.2500 0.2500 0.2500 x4
Pt: 0.1243 0.1243 0.6243 x16

## Properties
* E_tot: -60.47 eV/atom
* magnetic moment: 0.00 μB per atom
* DFT formation energy: -926 meV/atom

---

# 6
VASP calculation (meta-GGA SCAN) on LaInPt2 at its PBEsol-relaxed geometry.

Unit cell a=4.2546 b=3.8914 c=10.3094 alpha=90.00 beta=90.00 gamma=90.00
Space group Amm2 (No. 38)
One atom of each set of equivalent atoms:
La: 0.0000 0.0000 0.0000 x2
In: 0.5000 0.0000 0.7118 x2
Pt: 0.0000 0.0000 0.2705 x2
Pt: 0.5000 0.0000 0.4399 x2

## Properties
* E_tot: -55.26 eV/atom
* magnetic moment: 0.00 μB per atom
* DFT formation energy: -1037 meV/atom

---

# 7
VASP calculation (meta-GGA SCAN) on LaInPt2 at its PBEsol-relaxed geometry.

Unit cell a=3.9468 b=3.9468 c=5.6701 alpha=90.00 beta=90.00 gamma=90.00
Space group P4mm (No. 99)
One atom of each set of equivalent atoms:
La: 0.0000 0.0000 0.0000 x1
In: 0.5000 0.5000 0.6106 x1
Pt: 0.0000 0.0000 0.5086 x1
Pt: 0.5000 0.5000 0.1309 x1

## Properties
* E_tot: -55.06 eV/atom
* magnetic moment: 0.00 μB per atom
* DFT formation energy: -845 meV/atom

---

# 8
VASP calculation (meta-GGA SCAN) on LaIn2Pt at its PBEsol-relaxed geometry.

Unit cell a=3.5303 b=3.5303 c=7.4723 alpha=90.00 beta=90.00 gamma=90.00
Space group P4mm (No. 99)
One atom of each set of equivalent atoms:
La: 0.0000 0.0000 0.0000 x1
In: 0.0000 0.0000 0.4334 x1
In: 0.5000 0.5000 0.6774 x1
Pt: 0.5000 0.5000 0.2412 x1

## Properties
* E_tot: -45.65 eV/atom
* magnetic moment: 0.00 μB per atom
* DFT formation energy: -633 meV/atom

---

# 9
VASP calculation (meta-GGA SCAN) on LaIn2Pt at its PBEsol-relaxed geometry.

Unit cell a=5.4367 b=7.8439 c=4.6871 alpha=90.00 beta=90.00 gamma=90.00
Space group Cmmm (No. 65)
One atom of each set of equivalent atoms:
La: 0.0000 0.0000 0.0000 x2
In: 0.0000 0.3160 0.5000 x4
Pt: 0.0000 0.5000 0.0000 x2

## Properties
* E_tot: -45.88 eV/atom
* magnetic moment: 0.00 μB per atom
* DFT formation energy: -866 meV/atom

---

# 10
VASP calculation (meta-GGA SCAN) on RbLaIn3 at its PBEsol-relaxed geometry.

Unit cell a=5.6875 b=5.6875 c=5.6875 alpha=90.00 beta=90.00 gamma=90.00
Space group Pm-3m (No. 221)
One atom of each set of equivalent atoms:
Rb: 0.0000 0.0000 0.0000 x1
La: 0.5000 0.5000 0.5000 x1
In: 0.0000 0.0000 0.5000 x3

## Properties
* E_tot: -32.12 eV/atom
* magnetic moment: 0.00 μB per atom
* DFT formation energy: 682 meV/atom

---

# 11
VASP calculation (meta-GGA SCAN) on RbLaInRe2 at its PBEsol-relaxed geometry.

Unit cell a=4.8440 b=4.8440 c=5.3569 alpha=90.00 beta=90.00 gamma=90.00
Space group P4/mmm (No. 123)
One atom of each set of equivalent atoms:
Rb: 0.0000 0.0000 0.0000 x1
La: 0.5000 0.5000 0.5000 x1
In: 0.0000 0.0000 0.5000 x1
Re: 0.0000 0.5000 0.0000 x2

## Properties
* E_tot: -45.15 eV/atom
* magnetic moment: 0.33 μB per atom
* DFT formation energy: 2737 meV/atom

---

# 12
VASP calculation (meta-GGA SCAN) on LaInRe2 at its PBEsol-relaxed geometry.

Unit cell a=3.2428 b=4.6329 c=5.1265 alpha=90.00 beta=90.00 gamma=90.00
Space group Pmmm (No. 47)
One atom of each set of equivalent atoms:
La: 0.0000 0.0000 0.0000 x1
In: 0.5000 0.0000 0.5000 x1
Re: 0.0000 0.5000 0.5000 x1
Re: 0.5000 0.5000 0.0000 x1

## Properties
* E_tot: -53.79 eV/atom
* magnetic moment: 0.00 μB per atom
* DFT formation energy: 881 meV/atom

---

# 13
VASP calculation (meta-GGA SCAN) on La4InRe at its PBEsol-relaxed geometry.

Unit cell a=8.6594 b=8.6594 c=8.6594 alpha=90.00 beta=90.00 gamma=90.00
Space group F-43m (No. 216)
One atom of each set of equivalent atoms:
La: 0.1236 0.1236 0.3764 x16
In: 0.0000 0.0000 0.0000 x4
Re: 0.2500 0.2500 0.7500 x4

## Properties
* E_tot: -45.37 eV/atom
* magnetic moment: 0.00 μB per atom
* DFT formation energy: 782 meV/atom

---

# 14
VASP calculation (meta-GGA SCAN) on LaIn3Re at its PBEsol-relaxed geometry.

Unit cell a=5.1152 b=5.1152 c=5.1152 alpha=90.00 beta=90.00 gamma=90.00
Space group Pm-3m (No. 221)
One atom of each set of equivalent atoms:
La: 0.0000 0.0000 0.0000 x1
In: 0.0000 0.5000 0.5000 x3
Re: 0.5000 0.5000 0.5000 x1

## Properties
* E_tot: -42.90 eV/atom
* magnetic moment: 0.00 μB per atom
* DFT formation energy: -29 meV/atom

---

# 15
VASP calculation (meta-GGA SCAN) on LaIn2ReRu at its PBEsol-relaxed geometry.

Unit cell a=4.9721 b=4.9721 c=4.8197 alpha=90.00 beta=90.00 gamma=90.00
Space group P4/mmm (No. 123)
One atom of each set of equivalent atoms:
La: 0.0000 0.0000 0.0000 x1
In: 0.0000 0.5000 0.5000 x2
Re: 0.5000 0.5000 0.0000 x1
Ru: 0.5000 0.5000 0.5000 x1

## Properties
* E_tot: -42.80 eV/atom
* magnetic moment: 0.17 μB per atom
* DFT formation energy: 364 meV/atom

---

# 16
VASP calculation (meta-GGA SCAN) on LaIn5Rh at its PBEsol-relaxed geometry.

Unit cell a=4.6521 b=4.6521 c=7.5385 alpha=90.00 beta=90.00 gamma=90.00
Space group P4/mmm (No. 123)
One atom of each set of equivalent atoms:
La: 0.0000 0.0000 0.0000 x1
In: 0.0000 0.5000 0.3062 x4
In: 0.5000 0.5000 0.0000 x1
Rh: 0.0000 0.0000 0.5000 x1

## Properties
* E_tot: -35.40 eV/atom
* magnetic moment: 0.00 μB per atom
* DFT formation energy: -572 meV/atom

---

# 17
VASP calculation (meta-GGA SCAN) on La2InRh2 at its PBEsol-relaxed geometry.

Unit cell a=7.5730 b=7.5730 c=3.9119 alpha=90.00 beta=90.00 gamma=90.00
Space group P4/mbm (No. 127)
One atom of each set of equivalent atoms:
La: 0.1691 0.3309 0.0000 x4
In: 0.0000 0.0000 0.5000 x2
Rh: 0.1355 0.6355 0.5000 x4

## Properties
* E_tot: -38.23 eV/atom
* magnetic moment: 0.00 μB per atom
* DFT formation energy: -803 meV/atom

---

# 18
VASP calculation (meta-GGA SCAN) on LaIn2Rh2 at its PBEsol-relaxed geometry.

Unit cell a=4.2594 b=4.2594 c=11.6706 alpha=90.00 beta=90.00 gamma=90.00
Space group I4/mmm (No. 139)
One atom of each set of equivalent atoms:
La: 0.0000 0.0000 0.0000 x2
In: 0.0000 0.5000 0.2500 x4
Rh: 0.0000 0.0000 0.3936 x4

## Properties
* E_tot: -36.10 eV/atom
* magnetic moment: 0.00 μB per atom
* DFT formation energy: -613 meV/atom

---

# 19
VASP calculation (meta-GGA SCAN) on LaInRu2 at its PBEsol-relaxed geometry.

Unit cell a=2.9615 b=2.9615 c=29.3724 alpha=90.00 beta=90.00 gamma=120.00
Space group R3m (No. 160, hexagonal axes)
One atom of each set of equivalent atoms:
La: 0.0000 0.0000 0.0000 x3
In: 0.0000 0.0000 0.7682 x3
Ru: 0.0000 0.0000 0.2441 x3
Ru: 0.0000 0.0000 0.5123 x3

## Properties
* E_tot: -36.09 eV/atom
* magnetic moment: 0.00 μB per atom
* DFT formation energy: 441 meV/atom

---

# 20
VASP calculation (meta-GGA SCAN) on La2InRu at its PBEsol-relaxed geometry.

Unit cell a=3.8316 b=4.8501 c=11.3426 alpha=90.00 beta=90.00 gamma=90.00
Space group Amm2 (No. 38)
One atom of each set of equivalent atoms:
La: 0.0000 0.0000 0.0000 x2
La: 0.5000 0.0000 0.3085 x2
In: 0.5000 0.0000 0.6082 x2
Ru: 0.0000 0.0000 0.7896 x2

## Properties
* E_tot: -39.05 eV/atom
* magnetic moment: 0.00 μB per atom
* DFT formation energy: -446 meV/atom

---

# 21
VASP calculation (meta-GGA SCAN) on La2InRu at its PBEsol-relaxed geometry.

Unit cell a=3.9784 b=3.9784 c=24.9657 alpha=90.00 beta=90.00 gamma=120.00
Space group R-3m (No. 166, hexagonal axes)
One atom of each set of equivalent atoms:
La: 0.0000 0.0000 0.2302 x6
In: 0.0000 0.0000 0.0000 x3
Ru: 0.0000 0.0000 0.5000 x3

## Properties
* E_tot: -38.89 eV/atom
* magnetic moment: 0.00 μB per atom
* DFT formation energy: -283 meV/atom

---

# 22
VASP calculation (meta-GGA SCAN) on La2InRu at its PBEsol-relaxed geometry.

Unit cell a=3.4052 b=3.4052 c=8.7324 alpha=90.00 beta=90.00 gamma=90.00
Space group P4/mmm (No. 123)
One atom of each set of equivalent atoms:
La: 0.0000 0.0000 0.2031 x2
In: 0.5000 0.5000 0.5000 x1
Ru: 0.5000 0.5000 0.0000 x1

## Properties
* E_tot: -39.02 eV/atom
* magnetic moment: 0.00 μB per atom
* DFT formation energy: -414 meV/atom

---

# 23
VASP calculation (meta-GGA SCAN) on La3InS at its PBEsol-relaxed geometry.

Unit cell a=5.8576 b=5.8576 c=5.8576 alpha=90.00 beta=90.00 gamma=90.00
Space group Pm-3m (No. 221)
One atom of each set of equivalent atoms:
La: 0.0000 0.0000 0.5000 x3
In: 0.0000 0.0000 0.0000 x1
S: 0.5000 0.5000 0.5000 x1

## Properties
* E_tot: -34.40 eV/atom
* magnetic moment: 0.00 μB per atom
* formation energy without anion corrections: 0.32 eV/f.u.

---

# 24
VASP calculation (meta-GGA SCAN) on La3InS6 at its PBEsol-relaxed geometry.

Unit cell a=13.8482 b=16.6787 c=4.0064 alpha=90.00 beta=90.00 gamma=90.00
Space group P2_12_12 (No. 18)
One atom of each set of equivalent atoms:
La: 0.0443 0.2206 0.2504 x4
La: 0.1847 0.6458 0.2503 x4
La: 0.2444 0.8948 0.7498 x4
In: 0.0000 0.0000 0.7496 x2
In: 0.0000 0.5000 0.7506 x2
S: 0.0241 0.3975 0.2505 x4
S: 0.0918 0.9187 0.2499 x4
S: 0.1069 0.7486 0.7503 x4
S: 0.1162 0.1108 0.7503 x4
S: 0.1832 0.2864 0.7502 x4
S: 0.1880 0.5190 0.7505 x4

## Properties
* E_tot: -24.12 eV/atom
* magnetic moment: 0.00 μB per atom
* formation energy without anion corrections: -20.70 eV/f.u.

---

# 25
VASP calculation (meta-GGA SCAN) on LaTaInS2 at its PBEsol-relaxed geometry.

Unit cell a=4.8989 b=4.8989 c=5.7691 alpha=90.00 beta=90.00 gamma=90.00
Space group P4/mmm (No. 123)
One atom of each set of equivalent atoms:
La: 0.0000 0.0000 0.0000 x1
Ta: 0.5000 0.5000 0.0000 x1
In: 0.0000 0.0000 0.5000 x1
S: 0.0000 0.5000 0.5000 x2

## Properties
* E_tot: -31.39 eV/atom
* magnetic moment: 0.71 μB per atom
* formation energy without anion corrections: 5.37 eV/f.u.

---

# 26
VASP calculation (meta-GGA SCAN) on La2InSb at its PBEsol-relaxed geometry.

Unit cell a=4.4058 b=4.8299 c=10.8583 alpha=90.00 beta=90.00 gamma=90.00
Space group Imm2 (No. 44)
One atom of each set of equivalent atoms:
La: 0.0000 0.0000 0.0000 x2
La: 0.0000 0.5000 0.2408 x2
In: 0.0000 0.0000 0.4777 x2
Sb: 0.0000 0.5000 0.7544 x2

## Properties
* E_tot: -40.05 eV/atom
* magnetic moment: 0.00 μB per atom
* offset from the most stable computed form: 0.121 eV per atom
* formation energy without anion corrections: -3.35 eV/f.u.

---

# 27
VASP calculation (meta-GGA SCAN) on La2InSb at its PBEsol-relaxed geometry.

Unit cell a=4.4132 b=4.7111 c=11.8496 alpha=90.00 beta=90.00 gamma=90.00
Space group Amm2 (No. 38)
One atom of each set of equivalent atoms:
La: 0.0000 0.0000 0.0000 x2
La: 0.5000 0.0000 0.2730 x2
In: 0.0000 0.0000 0.7277 x2
Sb: 0.5000 0.0000 0.5509 x2

## Properties
* E_tot: -40.17 eV/atom
* magnetic moment: 0.00 μB per atom
* offset from the most stable computed form: 0.000 eV per atom
* formation energy without anion corrections: -3.84 eV/f.u.